Computed, not measured: crystalline ScFeBiAs2 at its relaxed geometry at the GGA-PBEsol level of DFT.

volume: 21.72 Å³/atom
calculated formation energy: 0.079 eV/atom
electronic total energy: -5.9343 eV per atom
Fermi-level density of states: 2.650 states/eV per cell

Geometry as POSCAR:
```
ScFeBiAs2
1.0
4.377 0.000 0.000
0.000 4.377 0.000
0.000 0.000 5.669
Sc Fe Bi As
1 1 1 2
Direct
0.000 0.000 0.000
0.500 0.500 0.500
0.500 0.500 0.000
0.000 0.500 0.500
0.500 0.000 0.500
```